Entry 1:
{
  "formula": "ZnCdSn3",
  "functional": "PBE-GGA",
  "state": "relaxed",
  "ef_ev_per_atom": 0.3626,
  "m_tot_mub_per_cell": 0.00,
  "energy_ev_per_cell": -12.4,
  "lattice": [[5.265, 0.000, 0.000], [0.000, 5.265, 0.000], [0.000, 0.000, 5.265]],
  "species": ["Zn", "Cd", "Sn", "Sn", "Sn"],
  "fractional_positions": [[0.000, 0.000, 0.000], [0.500, 0.500, 0.500], [0.000, 0.000, 0.500], [0.000, 0.500, 0.000], [0.500, 0.000, 0.000]]
}

Entry 2:
{
  "formula": "HoBe3Ni2",
  "functional": "PBE-GGA",
  "state": "relaxed",
  "ef_ev_per_atom": -0.3515,
  "m_tot_mub_per_cell": 0.00,
  "energy_ev_per_cell": -58.9,
  "lattice": [[4.380, -3.428, 0.000], [4.380, 3.428, 0.000], [0.000, 0.000, 4.928]],
  "species": ["Ho", "Ho", "Be", "Be", "Be", "Be", "Be", "Be", "Ni", "Ni", "Ni", "Ni"],
  "fractional_positions": [[0.173, 0.827, 0.750], [0.827, 0.173, 0.250], [0.037, 0.593, 0.250], [0.407, 0.963, 0.250], [0.426, 0.574, 0.250], [0.574, 0.426, 0.750], [0.593, 0.037, 0.750], [0.963, 0.407, 0.750], [0.297, 0.297, 0.000], [0.297, 0.297, 0.500], [0.703, 0.703, 0.000], [0.703, 0.703, 0.500]]
}

Entry 3:
{
  "formula": "ScSiOs2",
  "functional": "PBE-GGA",
  "state": "relaxed",
  "e_form_raw_ev_per_fu": -1.57,
  "m_tot_mub_per_cell": 0.00,
  "energy_ev_per_cell": -35.8,
  "lattice": [[3.072, 0.000, 0.000], [0.000, 3.072, 0.000], [0.000, 0.000, 6.250]],
  "species": ["Sc", "Si", "Os", "Os"],
  "fractional_positions": [[0.000, 0.000, 0.000], [0.000, 0.000, 0.500], [0.500, 0.500, 0.278], [0.500, 0.500, 0.722]]
}

Entry 4:
{
  "formula": "PmTh3Te6",
  "functional": "PBE-GGA",
  "state": "relaxed",
  "e_form_raw_ev_per_fu": -12.00,
  "m_tot_mub_per_cell": 0.00,
  "energy_ev_per_cell": -115.7,
  "lattice": [[11.646, 0.000, 0.000], [0.000, 4.232, 0.000], [-3.586, 0.000, 13.360]],
  "species": ["Pm", "Pm", "Th", "Th", "Th", "Th", "Th", "Th", "Te", "Te", "Te", "Te", "Te", "Te", "Te", "Te", "Te", "Te", "Te", "Te"],
  "fractional_positions": [[0.040, 0.250, 0.196], [0.960, 0.750, 0.804], [0.127, 0.250, 0.573], [0.319, 0.750, 0.978], [0.370, 0.250, 0.362], [0.630, 0.750, 0.638], [0.681, 0.250, 0.022], [0.873, 0.750, 0.427], [0.112, 0.250, 0.961], [0.148, 0.750, 0.401], [0.201, 0.750, 0.745], [0.245, 0.750, 0.189], [0.417, 0.250, 0.598], [0.473, 0.250, 0.127], [0.527, 0.750, 0.873], [0.583, 0.750, 0.402], [0.755, 0.250, 0.811], [0.799, 0.250, 0.255], [0.852, 0.250, 0.599], [0.888, 0.750, 0.039]]
}

Entry 5:
{
  "formula": "Li2MgZn",
  "functional": "PBE-GGA",
  "state": "relaxed",
  "ef_ev_per_atom": 0.0529,
  "m_tot_mub_per_cell": 0.00,
  "energy_ev_per_cell": -13.0,
  "lattice": [[-3.705, 3.705, 2.757], [3.705, -3.705, 2.757], [3.705, 3.705, -2.757]],
  "species": ["Li", "Li", "Li", "Li", "Mg", "Mg", "Zn", "Zn"],
  "fractional_positions": [[0.096, 0.125, 0.471], [0.375, 0.904, 0.029], [0.654, 0.625, 0.529], [0.875, 0.346, 0.971], [0.250, 0.750, 0.500], [0.500, 0.500, 0.000], [0.000, 0.000, 0.000], [0.750, 0.250, 0.500]]
}

Entry 6:
{
  "formula": "LaHg2I",
  "functional": "PBE-GGA",
  "state": "relaxed",
  "e_form_raw_ev_per_fu": -1.72,
  "m_tot_mub_per_cell": 0.00,
  "energy_ev_per_cell": -17.6,
  "lattice": [[-4.591, 4.591, 3.201], [4.591, -4.591, 3.201], [4.591, 4.591, -3.201]],
  "species": ["La", "La", "Hg", "Hg", "Hg", "Hg", "I", "I"],
  "fractional_positions": [[0.000, 0.000, 0.000], [0.750, 0.250, 0.500], [0.108, 0.125, 0.483], [0.375, 0.892, 0.017], [0.642, 0.625, 0.517], [0.875, 0.358, 0.983], [0.250, 0.750, 0.500], [0.500, 0.500, 0.000]]
}

Entry 7:
{
  "formula": "KSn4Pd2",
  "functional": "PBE-GGA",
  "state": "relaxed",
  "ef_ev_per_atom": -0.3831,
  "m_tot_mub_per_cell": 0.00,
  "energy_ev_per_cell": -120.7,
  "lattice": [[18.855, 0.000, 0.000], [0.000, 4.692, 0.000], [0.000, 0.000, 7.442]],
  "species": ["K", "K", "K", "K", "Sn", "Sn", "Sn", "Sn", "Sn", "Sn", "Sn", "Sn", "Sn", "Sn", "Sn", "Sn", "Sn", "Sn", "Sn", "Sn", "Pd", "Pd", "Pd", "Pd", "Pd", "Pd", "Pd", "Pd"],
  "fractional_positions": [[0.143, 0.250, 0.015], [0.357, 0.750, 0.515], [0.643, 0.250, 0.485], [0.857, 0.750, 0.985], [0.033, 0.750, 0.866], [0.066, 0.250, 0.474], [0.183, 0.750, 0.318], [0.193, 0.750, 0.729], [0.307, 0.250, 0.229], [0.317, 0.250, 0.818], [0.434, 0.750, 0.974], [0.467, 0.250, 0.366], [0.533, 0.750, 0.634], [0.566, 0.250, 0.026], [0.683, 0.750, 0.182], [0.693, 0.750, 0.771], [0.807, 0.250, 0.271], [0.817, 0.250, 0.682], [0.934, 0.750, 0.526], [0.967, 0.250, 0.134], [0.033, 0.750, 0.252], [0.212, 0.250, 0.528], [0.288, 0.750, 0.028], [0.467, 0.250, 0.752], [0.533, 0.750, 0.248], [0.712, 0.250, 0.972], [0.788, 0.750, 0.472], [0.967, 0.250, 0.748]]
}

Entry 8:
{
  "formula": "Th6InHg2",
  "functional": "PBE-GGA",
  "state": "relaxed",
  "ef_ev_per_atom": -0.1029,
  "m_tot_mub_per_cell": 0.00,
  "energy_ev_per_cell": -48.8,
  "lattice": [[5.682, -2.464, 0.000], [5.682, 2.464, 0.000], [-4.302, 0.000, 9.521]],
  "species": ["Th", "Th", "Th", "Th", "Th", "Th", "In", "Hg", "Hg"],
  "fractional_positions": [[0.029, 0.029, 0.349], [0.321, 0.321, 0.771], [0.344, 0.344, 0.108], [0.656, 0.656, 0.892], [0.679, 0.679, 0.229], [0.971, 0.971, 0.651], [0.000, 0.000, 0.000], [0.349, 0.349, 0.431], [0.651, 0.651, 0.569]]
}

Entry 9:
{
  "formula": "HoPd3Pt",
  "functional": "PBE-GGA",
  "state": "relaxed",
  "ef_ev_per_atom": -0.5655,
  "m_tot_mub_per_cell": 0.00,
  "energy_ev_per_cell": -116.1,
  "lattice": [[7.096, 0.000, 0.000], [0.000, 7.096, 0.000], [0.000, 0.000, 7.096]],
  "species": ["Ho", "Ho", "Ho", "Ho", "Pd", "Pd", "Pd", "Pd", "Pd", "Pd", "Pd", "Pd", "Pd", "Pd", "Pd", "Pd", "Pt", "Pt", "Pt", "Pt"],
  "fractional_positions": [[0.199, 0.199, 0.199], [0.301, 0.801, 0.699], [0.699, 0.301, 0.801], [0.801, 0.699, 0.301], [0.060, 0.125, 0.803], [0.125, 0.803, 0.060], [0.197, 0.560, 0.375], [0.303, 0.440, 0.875], [0.375, 0.197, 0.560], [0.440, 0.875, 0.303], [0.560, 0.375, 0.197], [0.625, 0.697, 0.940], [0.697, 0.940, 0.625], [0.803, 0.060, 0.125], [0.875, 0.303, 0.440], [0.940, 0.625, 0.697], [0.046, 0.954, 0.454], [0.454, 0.046, 0.954], [0.546, 0.546, 0.546], [0.954, 0.454, 0.046]]
}

Entry 10:
{
  "formula": "CeSmEr",
  "functional": "PBE-GGA",
  "state": "relaxed",
  "ef_ev_per_atom": 0.0972,
  "m_tot_mub_per_cell": 1.65,
  "energy_ev_per_cell": -29.8,
  "lattice": [[3.459, 0.000, 0.000], [0.000, 5.375, 0.000], [-1.709, 0.000, 10.022]],
  "species": ["Ce", "Ce", "Sm", "Sm", "Er", "Er"],
  "fractional_positions": [[0.209, 0.250, 0.416], [0.791, 0.750, 0.584], [0.045, 0.250, 0.087], [0.955, 0.750, 0.913], [0.376, 0.250, 0.757], [0.624, 0.750, 0.243]]
}

Entry 11:
{
  "formula": "Re2SiPt",
  "functional": "PBE-GGA",
  "state": "relaxed",
  "e_form_raw_ev_per_fu": 0.06,
  "m_tot_mub_per_cell": 0.00,
  "energy_ev_per_cell": -36.3,
  "lattice": [[-1.956, 1.956, 3.786], [1.956, -1.956, 3.786], [1.956, 1.956, -3.786]],
  "species": ["Re", "Re", "Si", "Pt"],
  "fractional_positions": [[0.000, 0.000, 0.000], [0.750, 0.250, 0.500], [0.250, 0.750, 0.500], [0.500, 0.500, 0.000]]
}

Entry 12:
{
  "formula": "ZnSiRh4",
  "functional": "PBE-GGA",
  "state": "relaxed",
  "e_form_raw_ev_per_fu": -1.17,
  "m_tot_mub_per_cell": 0.00,
  "energy_ev_per_cell": -37.3,
  "lattice": [[3.501, -1.974, 0.000], [3.501, 1.974, 0.000], [-2.287, 0.000, 6.702]],
  "species": ["Zn", "Si", "Rh", "Rh", "Rh", "Rh"],
  "fractional_positions": [[0.000, 0.000, 0.000], [0.500, 0.500, 0.500], [0.129, 0.129, 0.382], [0.377, 0.377, 0.146], [0.623, 0.623, 0.854], [0.871, 0.871, 0.618]]
}

Entry 13:
{
  "formula": "Ca4ZrHg5",
  "functional": "PBE-GGA",
  "state": "relaxed",
  "ef_ev_per_atom": -0.4396,
  "m_tot_mub_per_cell": 0.00,
  "energy_ev_per_cell": -22.5,
  "lattice": [[3.694, 0.000, 0.000], [0.000, 3.694, 0.000], [0.000, 0.000, 18.947]],
  "species": ["Ca", "Ca", "Ca", "Ca", "Zr", "Hg", "Hg", "Hg", "Hg", "Hg"],
  "fractional_positions": [[0.000, 0.000, 0.103], [0.000, 0.000, 0.308], [0.000, 0.000, 0.692], [0.000, 0.000, 0.897], [0.000, 0.000, 0.500], [0.500, 0.500, 0.000], [0.500, 0.500, 0.205], [0.500, 0.500, 0.413], [0.500, 0.500, 0.587], [0.500, 0.500, 0.795]]
}

Entry 14:
{
  "formula": "BaHoZnIn",
  "functional": "PBE-GGA",
  "state": "relaxed",
  "ef_ev_per_atom": -0.1845,
  "m_tot_mub_per_cell": 0.00,
  "energy_ev_per_cell": -11.3,
  "lattice": [[0.000, 3.940, 3.940], [3.940, 0.000, 3.940], [3.940, 3.940, 0.000]],
  "species": ["Ba", "Ho", "Zn", "In"],
  "fractional_positions": [[0.000, 0.000, 0.000], [0.500, 0.500, 0.500], [0.750, 0.750, 0.750], [0.250, 0.250, 0.250]]
}

Entry 15:
{
  "formula": "YCuNi",
  "functional": "PBE-GGA",
  "state": "relaxed",
  "ef_ev_per_atom": -0.2859,
  "m_tot_mub_per_cell": 0.00,
  "energy_ev_per_cell": -68.8,
  "lattice": [[5.774, 0.000, 0.000], [0.000, 5.380, 0.000], [-2.717, 0.000, 6.698]],
  "species": ["Y", "Y", "Y", "Y", "Cu", "Cu", "Cu", "Cu", "Ni", "Ni", "Ni", "Ni"],
  "fractional_positions": [[0.216, 0.134, 0.383], [0.216, 0.366, 0.883], [0.784, 0.634, 0.117], [0.784, 0.866, 0.617], [0.191, 0.632, 0.525], [0.191, 0.868, 0.025], [0.809, 0.132, 0.975], [0.809, 0.368, 0.475], [0.409, 0.591, 0.296], [0.409, 0.909, 0.796], [0.591, 0.091, 0.204], [0.591, 0.409, 0.704]]
}

Entry 16:
{
  "formula": "HfMgTi2",
  "functional": "PBE-GGA",
  "state": "relaxed",
  "ef_ev_per_atom": 0.1349,
  "m_tot_mub_per_cell": 0.00,
  "energy_ev_per_cell": -26.8,
  "lattice": [[2.961, 0.000, 0.000], [0.000, 1.462, 9.361], [0.000, -1.462, 9.361]],
  "species": ["Hf", "Mg", "Ti", "Ti"],
  "fractional_positions": [[0.000, 0.000, 0.000], [0.500, 0.154, 0.154], [0.000, 0.783, 0.783], [0.500, 0.388, 0.388]]
}

Entry 17:
{
  "formula": "Y2CoH",
  "functional": "PBE-GGA",
  "state": "relaxed",
  "m_tot_mub_per_cell": 1.22,
  "energy_ev_per_cell": -21.9,
  "lattice": [[1.674, 0.966, 7.835], [-1.674, 0.966, 7.835], [0.000, -1.933, 7.835]],
  "species": ["Y", "Y", "Co", "H"],
  "fractional_positions": [[0.105, 0.105, 0.105], [0.895, 0.895, 0.895], [0.000, 0.000, 0.000], [0.500, 0.500, 0.500]]
}

Entry 18:
{
  "formula": "Ac3MgAl2O9",
  "functional": "PBE-GGA",
  "state": "relaxed",
  "e_form_raw_ev_per_fu": -46.16,
  "m_tot_mub_per_cell": 0.01,
  "energy_ev_per_cell": -112.2,
  "lattice": [[5.548, 0.000, 0.000], [-2.774, 4.804, 0.000], [0.000, 0.000, 6.819]],
  "species": ["Ac", "Ac", "Ac", "Mg", "Al", "Al", "O", "O", "O", "O", "O", "O", "O", "O", "O"],
  "fractional_positions": [[0.000, 0.000, 0.000], [0.333, 0.667, 0.663], [0.667, 0.333, 0.337], [0.000, 0.000, 0.500], [0.333, 0.667, 0.163], [0.667, 0.333, 0.837], [0.000, 0.500, 0.000], [0.173, 0.345, 0.324], [0.173, 0.827, 0.324], [0.345, 0.173, 0.676], [0.500, 0.000, 0.000], [0.500, 0.500, 0.000], [0.655, 0.827, 0.324], [0.827, 0.173, 0.676], [0.827, 0.655, 0.676]]
}

Entry 19:
{
  "formula": "La2NdOsC2",
  "functional": "PBE-GGA",
  "state": "relaxed",
  "ef_ev_per_atom": -0.0267,
  "m_tot_mub_per_cell": 0.00,
  "energy_ev_per_cell": -88.9,
  "lattice": [[5.876, 0.000, 0.000], [0.000, 11.463, 0.000], [0.000, 0.000, 3.962]],
  "species": ["La", "La", "La", "La", "Nd", "Nd", "Os", "Os", "C", "C", "C", "C"],
  "fractional_positions": [[0.037, 0.205, 0.000], [0.463, 0.705, 0.500], [0.537, 0.295, 0.500], [0.963, 0.795, 0.000], [0.000, 0.500, 0.500], [0.500, 0.000, 0.000], [0.000, 0.000, 0.500], [0.500, 0.500, 0.000], [0.238, 0.605, 0.000], [0.262, 0.105, 0.500], [0.738, 0.895, 0.500], [0.762, 0.395, 0.000]]
}

Entry 20:
{
  "formula": "Th4Te5Rh",
  "functional": "PBE-GGA",
  "state": "relaxed",
  "e_form_raw_ev_per_fu": -10.59,
  "m_tot_mub_per_cell": 0.00,
  "energy_ev_per_cell": -63.3,
  "lattice": [[9.796, -2.139, 0.000], [9.796, 2.139, 0.000], [-2.092, 0.000, 8.438]],
  "species": ["Th", "Th", "Th", "Th", "Te", "Te", "Te", "Te", "Te", "Rh"],
  "fractional_positions": [[0.001, 0.001, 0.280], [0.338, 0.338, 0.401], [0.662, 0.662, 0.599], [0.999, 0.999, 0.720], [0.166, 0.166, 0.857], [0.170, 0.170, 0.331], [0.500, 0.500, 0.000], [0.830, 0.830, 0.669], [0.834, 0.834, 0.143], [0.500, 0.500, 0.500]]
}

Entry 21:
{
  "formula": "Al4W",
  "functional": "PBE-GGA",
  "state": "relaxed",
  "ef_ev_per_atom": 0.8040,
  "m_tot_mub_per_cell": 0.00,
  "energy_ev_per_cell": -23.9,
  "lattice": [[4.919, 0.000, 0.000], [0.000, 4.919, 0.000], [0.000, 0.000, 4.919]],
  "species": ["Al", "Al", "Al", "Al", "W"],
  "fractional_positions": [[0.000, 0.000, 0.000], [0.000, 0.500, 0.500], [0.500, 0.000, 0.500], [0.500, 0.500, 0.000], [0.500, 0.500, 0.500]]
}

Entry 22:
{
  "formula": "Pr12Bi6Ir",
  "functional": "PBE-GGA",
  "state": "relaxed",
  "ef_ev_per_atom": -0.5512,
  "m_tot_mub_per_cell": 0.00,
  "energy_ev_per_cell": -100.0,
  "lattice": [[6.887, 3.976, 4.289], [-6.887, 3.976, 4.289], [0.000, -7.953, 4.289]],
  "species": ["Pr", "Pr", "Pr", "Pr", "Pr", "Pr", "Pr", "Pr", "Pr", "Pr", "Pr", "Pr", "Bi", "Bi", "Bi", "Bi", "Bi", "Bi", "Ir"],
  "fractional_positions": [[0.008, 0.686, 0.944], [0.056, 0.992, 0.314], [0.196, 0.419, 0.552], [0.314, 0.056, 0.992], [0.419, 0.552, 0.196], [0.448, 0.804, 0.581], [0.552, 0.196, 0.419], [0.581, 0.448, 0.804], [0.686, 0.944, 0.008], [0.804, 0.581, 0.448], [0.944, 0.008, 0.686], [0.992, 0.314, 0.056], [0.121, 0.646, 0.314], [0.314, 0.121, 0.646], [0.354, 0.686, 0.879], [0.646, 0.314, 0.121], [0.686, 0.879, 0.354], [0.879, 0.354, 0.686], [0.000, 0.000, 0.000]]
}

Calculated density of states at the Fermi level in order - 1.36, 4.80, 3.59, 6.27, 2.23, 6.47, 7.14, 10.72, 8.51, 13.63, 3.93, 8.12, 8.66, 3.39, 8.88, 3.68, 4.03, 11.84, 10.07, 6.02, 4.24, 16.46 states/eV/cell